1.
# HfTePb (PBE, optimized geometry)
# **N(E_F)**: 2.000 states/eV/cell
# **Total magnetization**: 0.0 μB/f.u.
# **E_form (uncorrected)**: -0.8 eV/f.u.
data_HfTePb
_chemical_formula_sum 'Hf1 Te1 Pb1'
_space_group_name_H-M_alt 'P 1'
_space_group_IT_number 1
_space_group_name_Hall 'P 1'
_cell_length_a 6.277
_cell_length_b 6.277
_cell_length_c 6.277
_cell_angle_alpha 145.70
_cell_angle_beta 145.70
_cell_angle_gamma 49.30
loop_
_atom_site_label
_atom_site_type_symbol
_atom_site_fract_x
_atom_site_fract_y
_atom_site_fract_z
_atom_site_occupancy
Hf1 Hf 0.000 0.000 0.000 1
Te1 Te 0.614 0.614 0.000 1
Pb1 Pb 0.319 0.319 0.000 1

---

2.
# HfTePb3 (PBE, optimized geometry)
# **N(E_F)**: 3.517 states/eV/cell
# **Distance to the lowest polymorph of the same formula**: 0.0 meV/atom
# **Total magnetization**: 0.0 μB/f.u.
# **E_form (uncorrected)**: 2.2 eV/f.u.
data_HfTePb3
_chemical_formula_sum 'Hf1 Te1 Pb3'
_space_group_name_H-M_alt 'P 1'
_space_group_IT_number 1
_space_group_name_Hall 'P 1'
_cell_length_a 5.693
_cell_length_b 5.693
_cell_length_c 5.693
_cell_angle_alpha 90.00
_cell_angle_beta 90.00
_cell_angle_gamma 90.00
loop_
_atom_site_label
_atom_site_type_symbol
_atom_site_fract_x
_atom_site_fract_y
_atom_site_fract_z
_atom_site_occupancy
Hf1 Hf 0.000 0.000 0.000 1
Te1 Te 0.500 0.500 0.500 1
Pb1 Pb 0.000 0.000 0.500 1
Pb2 Pb 0.000 0.500 0.000 1
Pb3 Pb 0.500 0.000 0.000 1

---

3.
# HfTl2TePb (PBE, optimized geometry)
# **N(E_F)**: 5.904 states/eV/cell
# **Total magnetization**: 0.0 μB/f.u.
# **E_form (uncorrected)**: 2.6 eV/f.u.
data_HfTl2TePb
_chemical_formula_sum 'Hf1 Tl2 Te1 Pb1'
_space_group_name_H-M_alt 'P 1'
_space_group_IT_number 1
_space_group_name_Hall 'P 1'
_cell_length_a 5.698
_cell_length_b 5.698
_cell_length_c 5.703
_cell_angle_alpha 90.00
_cell_angle_beta 90.00
_cell_angle_gamma 90.00
loop_
_atom_site_label
_atom_site_type_symbol
_atom_site_fract_x
_atom_site_fract_y
_atom_site_fract_z
_atom_site_occupancy
Hf1 Hf 0.000 0.000 0.000 1
Tl1 Tl 0.000 0.500 0.000 1
Tl2 Tl 0.500 0.000 0.000 1
Te1 Te 0.500 0.500 0.500 1
Pb1 Pb 0.000 0.000 0.500 1

---

4.
# HfTl3Te6Pb2 (PBE, optimized geometry)
# **N(E_F)**: 4.563 states/eV/cell
# **Total magnetization**: 0.0 μB/f.u.
# **E_form (uncorrected)**: -5.5 eV/f.u.
data_HfTl3Te6Pb2
_chemical_formula_sum 'Hf1 Tl3 Te6 Pb2'
_space_group_name_H-M_alt 'P 1'
_space_group_IT_number 1
_space_group_name_Hall 'P 1'
_cell_length_a 7.903
_cell_length_b 7.903
_cell_length_c 8.137
_cell_angle_alpha 99.62
_cell_angle_beta 99.62
_cell_angle_gamma 119.76
loop_
_atom_site_label
_atom_site_type_symbol
_atom_site_fract_x
_atom_site_fract_y
_atom_site_fract_z
_atom_site_occupancy
Hf1 Hf 0.000 0.000 0.000 1
Tl1 Tl 0.174 0.826 0.500 1
Tl2 Tl 0.500 0.500 0.500 1
Tl3 Tl 0.826 0.174 0.500 1
Te1 Te 0.073 0.375 0.216 1
Te2 Te 0.223 0.223 0.774 1
Te3 Te 0.375 0.073 0.216 1
Te4 Te 0.625 0.927 0.784 1
Te5 Te 0.777 0.777 0.226 1
Te6 Te 0.927 0.625 0.784 1
Pb1 Pb 0.336 0.664 0.000 1
Pb2 Pb 0.664 0.336 0.000 1

---

5.
# HfTlTe2Pb (PBE, optimized geometry)
# **N(E_F)**: 3.411 states/eV/cell
# **Total magnetization**: 1.2 μB/f.u.
# **E_form (uncorrected)**: 4.9 eV/f.u.
data_HfTlTe2Pb
_chemical_formula_sum 'Hf1 Tl1 Te2 Pb1'
_space_group_name_H-M_alt 'P 1'
_space_group_IT_number 1
_space_group_name_Hall 'P 1'
_cell_length_a 5.902
_cell_length_b 5.902
_cell_length_c 5.598
_cell_angle_alpha 90.00
_cell_angle_beta 90.00
_cell_angle_gamma 90.00
loop_
_atom_site_label
_atom_site_type_symbol
_atom_site_fract_x
_atom_site_fract_y
_atom_site_fract_z
_atom_site_occupancy
Hf1 Hf 0.000 0.000 0.000 1
Tl1 Tl 0.500 0.500 0.000 1
Te1 Te 0.000 0.500 0.500 1
Te2 Te 0.500 0.000 0.500 1
Pb1 Pb 0.500 0.500 0.500 1

---

6.
# HfZrTe2Pb (PBE, optimized geometry)
# **N(E_F)**: 5.567 states/eV/cell
# **Total magnetization**: 0.0 μB/f.u.
# **E_form (uncorrected)**: 2.0 eV/f.u.
data_HfZrTe2Pb
_chemical_formula_sum 'Hf1 Zr1 Te2 Pb1'
_space_group_name_H-M_alt 'P 1'
_space_group_IT_number 1
_space_group_name_Hall 'P 1'
_cell_length_a 5.539
_cell_length_b 5.539
_cell_length_c 5.362
_cell_angle_alpha 90.00
_cell_angle_beta 90.00
_cell_angle_gamma 90.00
loop_
_atom_site_label
_atom_site_type_symbol
_atom_site_fract_x
_atom_site_fract_y
_atom_site_fract_z
_atom_site_occupancy
Hf1 Hf 0.000 0.000 0.000 1
Zr1 Zr 0.000 0.000 0.500 1
Te1 Te 0.000 0.500 0.500 1
Te2 Te 0.500 0.000 0.500 1
Pb1 Pb 0.500 0.500 0.000 1

---

Calculated total DFT energy (no corrections), -17.60 -21.98 -18.90 -48.86 -17.45 -26.52 eV for the cell shown (same order as the records).